*A*
! LaRuW2, optimized geometry, DFT PBE; values from VASP
&SYSTEM
  ibrav = 0, nat = 8, ntyp = 3
/
ATOMIC_SPECIES
La 138.91 La.upf
Ru 101.07 Ru.upf
W 183.84 W.upf
CELL_PARAMETERS angstrom
-3.9308 3.9308 2.7396
3.9308 -3.9308 2.7396
3.9308 3.9308 -2.7396
ATOMIC_POSITIONS angstrom
La 0.0000 0.0000 0.0000
La 0.0000 3.9308 1.3698
Ru 3.9308 0.0000 1.3698
Ru 0.0000 0.0000 2.7396
W 1.9654 -1.4933 2.0547
W 2.4375 1.9654 0.6849
W 1.9654 5.4242 -0.6849
W 1.4933 1.9654 3.4245
! SG: No. 122
! Mass density in Mg/m³: 11.92
! N(E_F) in states/eV per cell: 8.8



*B*
! LaRuW2, optimized geometry, DFT PBE; values from VASP
&SYSTEM
  ibrav = 0, nat = 4, ntyp = 3
/
ATOMIC_SPECIES
La 138.91 La.upf
Ru 101.07 Ru.upf
W 183.84 W.upf
CELL_PARAMETERS angstrom
1.6091 -2.3919 0.0000
1.6091 2.3919 0.0000
0.0000 0.0000 9.4859
ATOMIC_POSITIONS angstrom
La 0.0000 0.0000 0.0000
Ru 1.6091 0.0000 6.9558
W 0.0000 0.0000 4.8967
W 1.6091 0.0000 2.7714
! SG: No. 35
! Mass density in Mg/m³: 13.82
! N(E_F) in states/eV per cell: 4.4



Most stable structure among those shown: *B*. Next: +0.468 eV/atom.